No. 1
Computed, not measured: crystalline SmCu3As2 at its relaxed geometry at the PBE level of DFT.

Cell: 4.1453 4.1453 6.7724 Å, 90.00 90.00 120.00°
Last column: nearest neighbours and their distance in Å.
Sites, in units of the cell vectors:
As: 0.3333 0.6667 0.7434  4 Cu 2.48-2.64
As: 0.6667 0.3333 0.2566  4 Cu 2.48-2.64
Cu: 0.6667 0.3333 0.6462  4 As 2.48-2.64, 3 Cu 2.59
Cu: 0.0000 0.0000 0.5000  6 Cu 2.59
Cu: 0.3333 0.6667 0.3538  4 As 2.48-2.64, 3 Cu 2.59
Sm: 0.0000 0.0000 0.0000  6 As 2.96

Values from the calculation:
Energy: -28.1 eV per cell

***

No. 2
Computed, not measured: crystalline Er2Tm2Al at its relaxed geometry at the PBE level of DFT.

Cell: 6.6924 6.6924 6.6924 Å, 149.06 107.45 80.93°
Last column: nearest neighbours and their distance in Å.
Sites, in units of the cell vectors:
Tm: 0.6987 0.5000 0.1987  2 Al 2.98, 1 Tm 3.15
Tm: 0.3013 0.5000 0.8013  2 Al 2.98, 1 Tm 3.15
Er: 0.2476 0.7476 0.5000  2 Al 3.09
Er: 0.7524 0.2524 0.5000  2 Al 3.09
Al: 0.0000 0.0000 0.0000  4 Tm 2.98, 4 Er 3.09

Values from the calculation:
Energy: -22.0 eV per cell

***

No. 3
Computed, not measured: crystalline Sm3As2 at its relaxed geometry at the PBE level of DFT.

Cell: 4.3944 4.3944 8.3359 Å, 90.00 90.00 120.00°
Last column: nearest neighbours and their distance in Å.
Sites, in units of the cell vectors:
Sm: 0.3333 0.6667 0.3568  3 As 2.86
Sm: 0.0000 0.0000 0.0000  6 As 3.03
Sm: 0.6667 0.3333 0.6432  3 As 2.86
As: 0.6667 0.3333 0.1985  6 Sm 2.86-3.03
As: 0.3333 0.6667 0.8015  6 Sm 2.86-3.03

Values from the calculation:
Energy: -28.9 eV per cell

***

No. 4
Computed, not measured: crystalline NbCuSnPt at its relaxed geometry at the PBE level of DFT.

Cell: 4.5789 4.5789 4.5789 Å, 60.00 60.00 60.00°
Last column: nearest neighbours and their distance in Å.
Sites, in units of the cell vectors:
Sn: 0.0000 0.0000 0.0000  4 Cu 2.80, 4 Pt 2.80
Pt: 0.2500 0.2500 0.2500  4 Nb 2.80, 4 Sn 2.80
Cu: 0.7500 0.7500 0.7500  4 Sn 2.80, 4 Nb 2.80
Nb: 0.5000 0.5000 0.5000  4 Cu 2.80, 4 Pt 2.80

Values from the calculation:
Energy: -24.2 eV per cell

***

Which of these has the highest energy? Er2Tm2Al